TcNi2Os at its PBEsol-relaxed geometry, computed with meta-GGA SCAN.

Output
Theoretical density   13.82 g/cm³
Crystal system   tetragonal
ΔE_f   0.02 eV per atom
Calculated total energy   -2.5579 Ry per atom
ΔE to the lowest computed polymorph   0 meV/atom

abc: 4.4801 4.4801 4.4801
angles: 131.96 131.96 70.30
Fractional positions:
Tc1 0.0000 0.0000 0.0000
Ni1 0.2500 0.7500 0.5000
Ni2 0.5000 0.5000 0.0000
Os1 0.7500 0.2500 0.5000

ScInFe3 at its PBEsol-relaxed geometry, computed with meta-GGA SCAN.

Output
Theoretical density   5.34 g/cm³
Crystal system   cubic
ΔE_f   1.06 eV per atom
Calculated total energy   -1.4214 Ry per atom

abc: 4.6703 4.6703 4.6703
angles: 90.00 90.00 90.00
Fractional positions:
Sc1 0.0000 0.0000 0.0000
In1 0.5000 0.5000 0.5000
Fe1 0.0000 0.5000 0.5000
Fe2 0.5000 0.0000 0.5000
Fe3 0.5000 0.5000 0.0000

PtPb2 at its PBEsol-relaxed geometry, computed with meta-GGA SCAN.

Output
Theoretical density   14.13 g/cm³
Crystal system   tetragonal
ΔE_f   -0.07 eV per atom
Calculated total energy   -5.4382 Ry per atom

abc: 6.7537 6.7537 6.7537
angles: 151.14 151.14 41.27
Fractional positions:
Pt1 0.0000 0.0000 0.0000
Pb1 0.3642 0.3642 0.0000
Pb2 0.6358 0.6358 0.0000

YInRe at its PBEsol-relaxed geometry, computed with meta-GGA SCAN.

Output
Theoretical density   10.59 g/cm³
Crystal system   tetragonal
ΔE_f   0.14 eV per atom
Calculated total energy   -3.2313 Ry per atom
ΔE to the lowest computed polymorph   0 meV/atom

abc: 5.5446 5.5446 5.5446
angles: 143.07 143.07 53.22
Fractional positions:
Y1 0.0000 0.0000 0.0000
In1 0.6973 0.6973 0.0000
Re1 0.3343 0.3343 0.0000

Ag2TeIr at its PBEsol-relaxed geometry, computed with meta-GGA SCAN.

Output
Theoretical density   12.34 g/cm³
Crystal system   monoclinic
Calculated total energy   -3.1145 Ry per atom
Uncorrected formation energy   0.396 eV per atom

abc: 3.1175 5.0599 4.5678
angles: 90.00 90.35 90.00
Fractional positions:
Ag1 0.2443 0.0000 0.2430
Ag2 0.7557 0.0000 0.7570
Te1 0.0000 0.5000 0.5000
Ir1 0.5000 0.5000 0.0000

LiAlCr2 at its PBEsol-relaxed geometry, computed with meta-GGA SCAN.

Output
Theoretical density   4.81 g/cm³
Crystal system   orthorhombic
ΔE_f   0.23 eV per atom
Calculated total energy   -0.8449 Ry per atom

abc: 4.8343 4.8343 4.8343
angles: 143.08 134.89 59.65
Fractional positions:
Li1 0.0000 0.0000 0.0000
Al1 0.5000 0.5000 0.0000
Cr1 0.2477 0.7477 0.5000
Cr2 0.7523 0.2523 0.5000